1.
Here is a relaxed structure of SrCd2Au8 from the Alexandria database. Energies are from PBE.

Cell: 5.520 5.520 9.406 Å, 90.00 90.00 90.00°
Fractional positions:
Au  0.248  0.752  0.228
Au  0.752  0.752  0.228
Au  0.248  0.248  0.228
Au  0.248  0.752  0.772
Au  0.752  0.752  0.772
Au  0.752  0.248  0.772
Au  0.248  0.248  0.772
Au  0.752  0.248  0.228
Cd  0.500  0.000  0.000
Cd  0.000  0.500  0.000
Sr  0.500  0.500  0.500

## Properties
- DFT formation energy: -1.57 eV per formula unit
- Spin magnetization: 0.0 Bohr magnetons per cell
- DOS at the Fermi energy: 0.11 states/eV/atom
- Final energy: -31.3 eV/cell
- Space group: No. 123

2.
Here is a relaxed structure of Ho2Si2SnRh5 from the Alexandria database. Energies are from PBE.

Cell: 3.548 9.748 9.748 Å, 90.00 90.00 90.00°
Fractional positions:
Ho  0.000  0.324  0.824
Ho  0.000  0.676  0.176
Ho  0.000  0.824  0.676
Ho  0.000  0.176  0.324
Rh  0.500  0.283  0.570
Rh  0.500  0.070  0.783
Rh  0.500  0.717  0.430
Rh  0.500  0.930  0.217
Rh  0.500  0.783  0.930
Rh  0.500  0.000  0.500
Rh  0.500  0.500  0.000
Rh  0.500  0.217  0.070
Rh  0.500  0.430  0.283
Rh  0.500  0.570  0.717
Sn  0.000  0.000  0.000
Sn  0.000  0.500  0.500
Si  0.000  0.621  0.879
Si  0.000  0.879  0.379
Si  0.000  0.379  0.121
Si  0.000  0.121  0.621

## Properties
- Spin magnetization: 0.0 Bohr magnetons per cell
- DOS at the Fermi energy: 0.40 states/eV/atom
- Formation energy (no corrections): -0.970 eV per atom
- Final energy: -140.9 eV/cell
- Space group: No. 127

What is the DOS at the Fermi energy in the second record?
0.40 states/eV/atom

What is the spin magnetization in the first record?
0.0 Bohr magnetons per cell

What is the DOS at the Fermi energy in the second record?
0.40 states/eV/atom